Entry from the Alexandria database: an optimized crystal structure of Sr2YGaCo2O7 (PBE with a Hubbard U).

abc: 5.4806 5.6172 12.0186
angles: 103.47 103.16 90.04
Atoms (fractional coordinates):
Sr: 0.0000 0.0000 0.0000
Sr: 0.1996 0.1943 0.3963
Sr: 0.4992 0.5410 0.9999
Sr: 0.6994 0.7421 0.3965
Y: 0.3422 0.3660 0.7000
Y: 0.8444 0.8763 0.7003
Ga: 0.1304 0.5473 0.1985
Ga: 0.6304 0.1919 0.1985
Co: 0.2631 0.7842 0.5423
Co: 0.4216 0.9496 0.8555
Co: 0.7628 0.2987 0.5424
Co: 0.9201 0.4470 0.8551
O: 0.0485 0.0811 0.5717
O: 0.1376 0.7430 0.3464
O: 0.1400 0.1695 0.8316
O: 0.1739 0.6648 0.8263
O: 0.4758 0.4961 0.1988
O: 0.4889 0.9959 0.0512
O: 0.4940 0.5256 0.5671
O: 0.5487 0.0306 0.5714
O: 0.6380 0.1436 0.3465
O: 0.6395 0.2035 0.8304
O: 0.6739 0.7030 0.8261
O: 0.9758 0.2433 0.1987
O: 0.9895 0.5962 0.0511
O: 0.9947 0.5818 0.5679

## Properties
Its space group is No. 1. The value obtained for the total DFT energy (no corrections) is -0.24313 Ha/atom.